(a)
Compound: Pm2GaC
Source: Alexandria via LeMat-Bulk
Functional: GGA-PBE
Structure: relaxed

DOS at the Fermi energy = 4.36 states/eV per cell
Mass density = 6.68 g cm⁻³

abc: 3.6720 3.6720 7.9153
angles: 90.00 90.00 120.00
Space group P-6m2 (No. 187)
Asymmetric unit:
Pm1 0.0000 0.0000 0.1877 x2
Ga1 0.3333 0.6667 0.5000 x1
C1 0.6667 0.3333 0.0000 x1

(b)
Compound: Pm2GaC
Source: Alexandria via LeMat-Bulk
Functional: GGA-PBE
Structure: relaxed

DOS at the Fermi energy = 14.00 states/eV per cell
Mass density = 6.69 g cm⁻³

abc: 3.7360 3.7360 22.8965
angles: 90.00 90.00 120.00
Space group R-3m (No. 166, hexagonal axes)
Asymmetric unit:
Pm1 0.0000 0.0000 0.2289 x6
Ga1 0.0000 0.0000 0.0000 x3
C1 0.0000 0.0000 0.5000 x3

It turns out (b) is the most stable, with the second structure 211 meV/atom higher.

(a)
Compound: Pr3GaC
Source: Alexandria via LeMat-Bulk
Functional: GGA-PBE
Structure: relaxed

DOS at the Fermi energy = 15.01 states/eV per cell
Mass density = 6.44 g cm⁻³

abc: 15.349 3.811 8.915
angles: 90.00 93.55 90.00
Space group C2/m (No. 12)
Asymmetric unit:
Pr1 0.049 0.000 0.271 x4
Pr2 0.151 0.500 0.963 x4
Pr3 0.246 0.000 0.672 x4
Ga1 0.086 0.500 0.559 x4
C1 0.196 0.000 0.152 x4

(b)
Compound: Pr3GaC
Source: Alexandria via LeMat-Bulk
Functional: GGA-PBE
Structure: relaxed

DOS at the Fermi energy = 2.12 states/eV per cell
Mass density = 6.25 g cm⁻³

abc: 5.117 5.117 5.117
angles: 90.00 90.00 90.00
Space group Pm-3m (No. 221)
Asymmetric unit:
Pr1 0.000 0.000 0.500 x3
Ga1 0.500 0.500 0.500 x1
C1 0.000 0.000 0.000 x1

It turns out (a) is the most stable, with the second structure 34 meV/atom higher.

(a)
Compound: Ga3PtC
Source: Alexandria via LeMat-Bulk
Functional: GGA-PBE
Structure: relaxed

DOS at the Fermi energy = 1.96 states/eV per cell
Mass density = 9.16 g cm⁻³

abc: 4.225 4.225 4.225
angles: 90.00 90.00 90.00
Space group Pm-3m (No. 221)
Asymmetric unit:
Ga1 0.000 0.000 0.500 x3
Pt1 0.500 0.500 0.500 x1
C1 0.000 0.000 0.000 x1

(b)
Compound: Ga3PtC
Source: Alexandria via LeMat-Bulk
Functional: GGA-PBE
Structure: relaxed

DOS at the Fermi energy = 1.33 states/eV per cell
Mass density = 6.16 g cm⁻³

abc: 4.823 4.823 4.823
angles: 90.00 90.00 90.00
Space group Pm-3m (No. 221)
Asymmetric unit:
Ga1 0.000 0.000 0.500 x3
Pt1 0.000 0.000 0.000 x1
C1 0.500 0.500 0.500 x1

It turns out (a) is the most stable, with the second structure 461 meV/atom higher.